1.
# PBE Zr3WS, optimized geometry
data_Zr3WS
_symmetry_space_group_name_H-M 'P m -3 m'
_symmetry_Int_Tables_number 221
_symmetry_space_group_name_Hall '-P 4 2 3'
_cell_length_a 5.1017
_cell_length_b 5.1017
_cell_length_c 5.1017
_cell_angle_alpha 90.00
_cell_angle_beta 90.00
_cell_angle_gamma 90.00
loop_
_atom_site_label
_atom_site_type_symbol
_atom_site_fract_x
_atom_site_fract_y
_atom_site_fract_z
Zr1 Zr 0.0000 0.0000 0.5000
W1 W 0.0000 0.0000 0.0000
S1 S 0.5000 0.5000 0.5000
# Crystal system   cubic
# Density of states at the Fermi level   8.16 states/eV per cell
# Polymorph energy (0 for the lowest one)   864 meV per atom
# Formation energy (no corrections)   870 meV/atom

2.
# PBE AcTmScTl, optimized geometry
data_AcTmScTl
_symmetry_space_group_name_H-M 'F -4 3 m'
_symmetry_Int_Tables_number 216
_symmetry_space_group_name_Hall 'F -4 2 3'
_cell_length_a 7.7670
_cell_length_b 7.7670
_cell_length_c 7.7670
_cell_angle_alpha 90.00
_cell_angle_beta 90.00
_cell_angle_gamma 90.00
loop_
_atom_site_label
_atom_site_type_symbol
_atom_site_fract_x
_atom_site_fract_y
_atom_site_fract_z
Ac1 Ac 0.0000 0.0000 0.0000
Tm1 Tm 0.2500 0.2500 0.7500
Sc1 Sc 0.2500 0.2500 0.2500
Tl1 Tl 0.0000 0.0000 0.5000
# Crystal system   cubic
# Density of states at the Fermi level   23.23 states/eV per cell
# E_form   0.09 eV per atom

3.
# PBE CrNi12Sn3, optimized geometry
data_CrNi12Sn3
_symmetry_space_group_name_H-M 'P 4/m m m'
_symmetry_Int_Tables_number 123
_symmetry_space_group_name_Hall '-P 4 2'
_cell_length_a 3.6971
_cell_length_b 3.6971
_cell_length_c 14.6649
_cell_angle_alpha 90.00
_cell_angle_beta 90.00
_cell_angle_gamma 90.00
loop_
_atom_site_label
_atom_site_type_symbol
_atom_site_fract_x
_atom_site_fract_y
_atom_site_fract_z
Cr1 Cr 0.0000 0.0000 0.0000
Ni1 Ni 0.0000 0.5000 0.1132
Ni2 Ni 0.0000 0.5000 0.3715
Ni3 Ni 0.5000 0.5000 0.0000
Ni4 Ni 0.5000 0.5000 0.2430
Ni5 Ni 0.5000 0.5000 0.5000
Sn1 Sn 0.0000 0.0000 0.2437
Sn2 Sn 0.0000 0.0000 0.5000
# Crystal system   tetragonal
# Density of states at the Fermi level   11.40 states/eV per cell
# E_form   -0.13 eV per atom

4.
# PBE GaReAg3, optimized geometry
data_GaReAg3
_symmetry_space_group_name_H-M 'P m -3 m'
_symmetry_Int_Tables_number 221
_symmetry_space_group_name_Hall '-P 4 2 3'
_cell_length_a 5.1546
_cell_length_b 5.1546
_cell_length_c 5.1546
_cell_angle_alpha 90.00
_cell_angle_beta 90.00
_cell_angle_gamma 90.00
loop_
_atom_site_label
_atom_site_type_symbol
_atom_site_fract_x
_atom_site_fract_y
_atom_site_fract_z
Ga1 Ga 0.0000 0.0000 0.0000
Re1 Re 0.5000 0.5000 0.5000
Ag1 Ag 0.0000 0.5000 0.5000
# Crystal system   cubic
# Density of states at the Fermi level   4.09 states/eV per cell
# Polymorph energy (0 for the lowest one)   132 meV per atom
# E_form   1.54 eV per atom